# 1
The following is a DFT calculation (PBE-GGA) of a relaxed structure of Ta2AlRh.

Lattice parameters (Å, degrees): 3.196 4.366 9.222 90.00 90.00 90.00
Space group Immm (No. 71)
Inequivalent atoms, fractional coordinates:
Ta1 0.000 0.000 0.245 (multiplicity 4)
Al1 0.000 0.500 0.000 (multiplicity 2)
Rh1 0.000 0.500 0.500 (multiplicity 2)

* calculated volume: 16.09 A^3/atom
* total magnetic moment: 0.0 Bohr magnetons per cell
* VASP energy: -9.141 eV/atom
* Fermi-level density of states: 0.45 states/eV per atom

***

# 2
The following is a DFT calculation (PBE-GGA) of a relaxed structure of Hf8TlS2.

Lattice parameters (Å, degrees): 13.173 7.428 5.196 90.00 96.50 90.00
Space group C2/m (No. 12)
Inequivalent atoms, fractional coordinates:
Hf1 0.088 0.197 0.203 (multiplicity 8)
Hf2 0.128 0.000 0.713 (multiplicity 4)
Hf3 0.214 0.500 0.745 (multiplicity 4)
Tl1 0.000 0.500 0.500 (multiplicity 2)
S1 0.179 0.500 0.226 (multiplicity 4)

* ΔE_f (raw): -0.11 eV/atom
* calculated volume: 22.96 A^3/atom
* total magnetic moment: 0.0 Bohr magnetons per cell
* VASP energy: -8.316 eV/atom
* Fermi-level density of states: 0.70 states/eV per atom

***

# 3
The following is a DFT calculation (PBE-GGA) of a relaxed structure of TmLuSe.

Lattice parameters (Å, degrees): 3.7765 3.7765 6.4015 90.00 90.00 120.00
Space group P3m1 (No. 156)
Inequivalent atoms, fractional coordinates:
Tm1 0.0000 0.0000 0.0000 (multiplicity 1)
Lu1 0.3333 0.6667 0.5681 (multiplicity 1)
Se1 0.6667 0.3333 0.2859 (multiplicity 1)

* ΔE_f (raw): -1.06 eV/atom
* excess energy over the best structure of this formula in the dataset: 0 meV/atom
* calculated volume: 26.36 A^3/atom
* total magnetic moment: 0.1 Bohr magnetons per cell
* VASP energy: -5.222 eV/atom
* Fermi-level density of states: 1.34 states/eV per atom

***

# 4
The following is a DFT calculation (PBE-GGA) of a relaxed structure of NaICl2.

Lattice parameters (Å, degrees): 5.5515 5.5515 13.7229 90.00 90.00 120.00
Space group R-3m (No. 166, hexagonal axes)
Inequivalent atoms, fractional coordinates:
Na1 0.0000 0.0000 0.0000 (multiplicity 3)
I1 0.0000 0.0000 0.5000 (multiplicity 3)
Cl1 0.0000 0.0000 0.1927 (multiplicity 6)

* ΔE_f (raw): -0.51 eV/atom
* excess energy over the best structure of this formula in the dataset: 450 meV/atom
* calculated volume: 30.52 A^3/atom
* total magnetic moment: 0.0 Bohr magnetons per cell
* VASP energy: -2.151 eV/atom
* Fermi-level density of states: 1.09 states/eV per atom

***

# 5
The following is a DFT calculation (PBE-GGA) of a relaxed structure of LaAlIr2.

Lattice parameters (Å, degrees): 3.121 4.212 6.065 90.00 101.18 90.00
Space group Pm (No. 6)
Inequivalent atoms, fractional coordinates:
La1 0.000 0.000 0.000 (multiplicity 1)
Al1 0.796 0.500 0.429 (multiplicity 1)
Ir1 0.334 0.000 0.469 (multiplicity 1)
Ir2 0.423 0.500 0.782 (multiplicity 1)

* calculated volume: 19.56 A^3/atom
* total magnetic moment: 0.0 Bohr magnetons per cell
* VASP energy: -7.027 eV/atom
* Fermi-level density of states: 0.26 states/eV per atom

***

# 6
The following is a DFT calculation (PBE-GGA) of a relaxed structure of LiScPt2.

Lattice parameters (Å, degrees): 3.184 3.388 5.807 90.00 90.00 90.00
Space group Pmmm (No. 47)
Inequivalent atoms, fractional coordinates:
Li1 0.000 0.000 0.000 (multiplicity 1)
Sc1 0.000 0.000 0.500 (multiplicity 1)
Pt1 0.500 0.500 0.238 (multiplicity 2)

* excess energy over the best structure of this formula in the dataset: 0 meV/atom
* calculated volume: 15.66 A^3/atom
* total magnetic moment: 0.0 Bohr magnetons per cell
* VASP energy: -6.084 eV/atom
* Fermi-level density of states: 0.50 states/eV per atom

***

> Among the records above, which one has the highest total magnetic moment?

TmLuSe

***

> What is the formula in the first record?

Ta2AlRh

***

> Look up the VASP energy of the third one.

-5.222 eV/atom